Density functional theory data (PBEsol) for crystalline HfMg3Cu at its relaxed geometry.

As for the density of states at the Fermi level: 1.269 states/eV per atom. The calculation puts the volume at 33.32 A^3/atom. Its total energy is -2.335 eV per atom.

The structure belongs to space group Pm-3m (No. 221); the cell edges are 5.5023, 5.5023 and 5.5023 Å and the angles 90.00°, 90.00° and 90.00°. The asymmetric unit holds Hf at (0.0000, 0.0000, 0.0000), Mg at (0.0000, 0.0000, 0.5000) and Cu at (0.5000, 0.5000, 0.5000).

=====

Density functional theory data (PBEsol) for crystalline HfTi2CuMo at its relaxed geometry.

As for the density of states at the Fermi level: 1.116 states/eV per atom. The calculation puts the volume at 19.21 A^3/atom. Its total energy is -7.797 eV per atom.

The structure belongs to space group P4/mmm (No. 123); the cell edges are 4.4904, 4.4904 and 4.7629 Å and the angles 90.00°, 90.00° and 90.00°. The asymmetric unit holds Hf at (0.0000, 0.0000, 0.0000), Ti at (0.0000, 0.5000, 0.5000), Cu at (0.5000, 0.5000, 0.0000) and Mo at (0.5000, 0.5000, 0.5000).

=====

Density functional theory data (PBEsol) for crystalline HfCuN2 at its relaxed geometry.

As for the density of states at the Fermi level: 0.875 states/eV per atom. The calculation puts the volume at 9.68 A^3/atom. The calculation puts the uncorrected formation energy at -0.24 eV/atom.

The structure belongs to space group Fm-3m (No. 225); the cell edges are 5.3711, 5.3711 and 5.3711 Å and the angles 90.00°, 90.00° and 90.00°. The asymmetric unit holds Hf at (0.0000, 0.0000, 0.0000), Cu at (0.0000, 0.0000, 0.5000) and N at (0.2500, 0.2500, 0.2500).